Pm5PaAs6 after structural relaxation. Source: Alexandria via LeMat-Bulk, functional PBE.

a b c (Å): 7.2885 7.2885 7.2846
angles (deg): 99.59 99.59 119.99
Fractional coordinates of all 12 atoms:
As (0.4049, 0.0812, 0.2444)
As (0.9188, 0.5951, 0.7556)
As (0.2414, 0.2414, 0.7556)
As (0.7586, 0.7586, 0.2444)
As (0.0812, 0.4049, 0.2444)
As (0.5951, 0.9188, 0.7556)
Pa (0.0000, 0.0000, 0.0000)
Pm (0.8308, 0.1692, 0.5000)
Pm (0.6660, 0.3340, 0.0000)
Pm (0.5000, 0.5000, 0.5000)
Pm (0.3340, 0.6660, 0.0000)
Pm (0.1692, 0.8308, 0.5000)

Properties
D(E_F), states/eV per atom: 0.367
Space group: No. 12
E_form, eV per atom: -1.469
Uncorrected energy, eV/atom: -6.56

PmPa2As3 after structural relaxation. Source: Alexandria via LeMat-Bulk, functional PBE.

a b c (Å): 5.8455 8.2724 12.3798
angles (deg): 90.00 90.00 90.00
Fractional coordinates of all 24 atoms:
Pm (0.2497, 0.8761, 0.0797)
Pm (0.2497, 0.3761, 0.4203)
Pm (0.7503, 0.6239, 0.5797)
Pm (0.7503, 0.1239, 0.9203)
Pa (0.2506, 0.8756, 0.7524)
Pa (0.2506, 0.3756, 0.7476)
Pa (0.2497, 0.8762, 0.4161)
Pa (0.2497, 0.3762, 0.0839)
Pa (0.7503, 0.6238, 0.9161)
Pa (0.7503, 0.1238, 0.5839)
Pa (0.7494, 0.6244, 0.2524)
Pa (0.7494, 0.1244, 0.2476)
As (0.2503, 0.6322, 0.5864)
As (0.2503, 0.1322, 0.9136)
As (0.2503, 0.6208, 0.9143)
As (0.2503, 0.1208, 0.5857)
As (0.2494, 0.6258, 0.2507)
As (0.2494, 0.1258, 0.2493)
As (0.7506, 0.8742, 0.7507)
As (0.7506, 0.3742, 0.7493)
As (0.7497, 0.8792, 0.4143)
As (0.7497, 0.3792, 0.0857)
As (0.7497, 0.8678, 0.0864)
As (0.7497, 0.3678, 0.4136)

Properties
D(E_F), states/eV per atom: 1.269
Space group: No. 14
E_form, eV per atom: -1.203
Uncorrected energy, eV/atom: -7.48

PmPa2As after structural relaxation. Source: Alexandria via LeMat-Bulk, functional PBE.

a b c (Å): 4.5677 4.5677 6.7852
angles (deg): 70.33 70.33 60.00
Fractional coordinates of all 4 atoms:
As (0.5000, 0.5000, 0.5000)
Pa (0.2225, 0.2225, 0.3324)
Pa (0.7775, 0.7775, 0.6676)
Pm (0.0000, 0.0000, 0.0000)

Properties
D(E_F), states/eV per atom: 2.669
Space group: No. 166
E_form, eV per atom: 0.189
Uncorrected energy, eV/atom: -6.91

PmPa2As4 after structural relaxation. Source: Alexandria via LeMat-Bulk, functional PBE.

a b c (Å): 4.1081 7.1094 13.3363
angles (deg): 90.00 90.00 106.79
Fractional coordinates of all 14 atoms:
Pm (0.6136, 0.2273, 0.7500)
Pm (0.3864, 0.7727, 0.2500)
Pa (0.1313, 0.2626, 0.4359)
Pa (0.8687, 0.7374, 0.9359)
Pa (0.1313, 0.2626, 0.0641)
Pa (0.8687, 0.7374, 0.5641)
As (0.7663, 0.5325, 0.1243)
As (0.7663, 0.5325, 0.3757)
As (0.2337, 0.4675, 0.8757)
As (0.2337, 0.4675, 0.6243)
As (0.9572, 0.9145, 0.7500)
As (0.0428, 0.0855, 0.2500)
As (0.5000, 0.0000, 0.0000)
As (0.5000, 0.0000, 0.5000)

Properties
D(E_F), states/eV per atom: 0.431
Space group: No. 63
E_form, eV per atom: -0.960
Uncorrected energy, eV/atom: -7.01

PmPrPa2As4 after structural relaxation. Source: Alexandria via LeMat-Bulk, functional PBE.

a b c (Å): 5.9023 5.9023 7.2365
angles (deg): 114.07 114.07 90.00
Fractional coordinates of all 8 atoms:
Pm (0.7500, 0.2500, 0.5000)
Pr (0.5000, 0.5000, 0.0000)
Pa (0.2500, 0.7500, 0.5000)
Pa (0.0000, 0.0000, 0.0000)
As (0.0052, 0.5052, 0.0105)
As (0.4948, 0.9948, 0.9895)
As (0.7566, 0.7566, 0.5132)
As (0.2434, 0.2434, 0.4868)

Properties
D(E_F), states/eV per atom: 1.180
Space group: No. 119
E_form, eV per atom: -1.267
Uncorrected energy, eV/atom: -7.16

Pm2Pr3PaAs6 after structural relaxation. Source: Alexandria via LeMat-Bulk, functional PBE.

a b c (Å): 7.3435 7.3435 7.3536
angles (deg): 99.57 99.57 119.99
Fractional coordinates of all 12 atoms:
Pm (0.3341, 0.6659, 0.0000)
Pm (0.6659, 0.3341, 0.0000)
Pr (0.1693, 0.8307, 0.5000)
Pr (0.8307, 0.1693, 0.5000)
Pr (0.5000, 0.5000, 0.5000)
Pa (0.0000, 0.0000, 0.0000)
As (0.9204, 0.5970, 0.7603)
As (0.7576, 0.7576, 0.2402)
As (0.0796, 0.4030, 0.2397)
As (0.5970, 0.9204, 0.7603)
As (0.2424, 0.2424, 0.7598)
As (0.4030, 0.0796, 0.2397)

Properties
D(E_F), states/eV per atom: 0.386
Space group: No. 12
E_form, eV per atom: -1.456
Uncorrected energy, eV/atom: -6.56

Pm2PrPaAs4 after structural relaxation. Source: Alexandria via LeMat-Bulk, functional PBE.

a b c (Å): 4.2153 7.3013 7.2819
angles (deg): 109.43 90.00 90.00
Fractional coordinates of all 8 atoms:
Pm (0.5000, 0.0000, 0.5000)
Pm (0.0000, 0.5000, 0.5000)
Pr (0.0000, 0.0000, 0.0000)
Pa (0.5000, 0.5000, 0.0000)
As (0.5000, 0.2594, 0.2463)
As (0.5000, 0.7406, 0.7537)
As (0.0000, 0.2609, 0.7579)
As (0.0000, 0.7391, 0.2421)

Properties
D(E_F), states/eV per atom: 0.695
Space group: No. 10
E_form, eV per atom: -1.406
Uncorrected energy, eV/atom: -6.70

Pm2PuPaAs4 after structural relaxation. Source: Alexandria via LeMat-Bulk, functional PBE.

a b c (Å): 4.1767 7.2157 7.2414
angles (deg): 109.45 90.00 90.00
Fractional coordinates of all 8 atoms:
Pm (0.5000, 0.0000, 0.5000)
Pm (0.0000, 0.5000, 0.5000)
Pu (0.0000, 0.0000, 0.0000)
Pa (0.5000, 0.5000, 0.0000)
As (0.5000, 0.2502, 0.2395)
As (0.5000, 0.7498, 0.7605)
As (0.0000, 0.2571, 0.7606)
As (0.0000, 0.7429, 0.2394)

Properties
D(E_F), states/eV per atom: 1.672
Space group: No. 10
E_form, eV per atom: -1.300
Uncorrected energy, eV/atom: -7.79

Pm3PuPa2As6 after structural relaxation. Source: Alexandria via LeMat-Bulk, functional PBE.

a b c (Å): 4.1719 8.3353 9.3302
angles (deg): 103.09 102.92 90.00
Fractional coordinates of all 12 atoms:
Pm (0.5000, 0.5000, 0.0000)
Pm (0.8344, 0.1660, 0.6687)
Pm (0.1656, 0.8340, 0.3313)
Pu (0.5000, 0.0000, 0.0000)
Pa (0.8344, 0.6692, 0.6687)
Pa (0.1656, 0.3308, 0.3313)
As (0.3343, 0.9084, 0.6686)
As (0.6695, 0.5763, 0.3391)
As (0.6657, 0.0916, 0.3314)
As (0.0035, 0.2469, 0.0070)
As (0.9965, 0.7531, 0.9930)
As (0.3305, 0.4237, 0.6609)

Properties
D(E_F), states/eV per atom: 1.490
Space group: No. 12
E_form, eV per atom: -1.295
Uncorrected energy, eV/atom: -7.58

PmPuPa2As4 after structural relaxation. Source: Alexandria via LeMat-Bulk, functional PBE.

a b c (Å): 5.8502 5.8502 7.1718
angles (deg): 114.07 114.07 90.00
Fractional coordinates of all 8 atoms:
Pm (0.5000, 0.5000, 0.0000)
Pu (0.7500, 0.2500, 0.5000)
Pa (0.2500, 0.7500, 0.5000)
Pa (0.0000, 0.0000, 0.0000)
As (0.0024, 0.5024, 0.0048)
As (0.4976, 0.9976, 0.9952)
As (0.7546, 0.7547, 0.5093)
As (0.2454, 0.2454, 0.4907)

Properties
D(E_F), states/eV per atom: 1.940
Space group: No. 119
E_form, eV per atom: -1.171
Uncorrected energy, eV/atom: -8.26

Pm2PaAs3Rh4 after structural relaxation. Source: Alexandria via LeMat-Bulk, functional PBE.

a b c (Å): 4.1940 4.1940 11.2140
angles (deg): 90.00 90.00 90.00
Fractional coordinates of all 10 atoms:
Pm (0.5000, 0.0000, 0.2159)
Pm (0.0000, 0.5000, 0.7841)
Pa (0.5000, 0.5000, 0.5000)
As (0.0000, 0.0000, 0.5000)
As (0.5000, 0.0000, 0.8689)
As (0.0000, 0.5000, 0.1311)
Rh (0.5000, 0.5000, 0.0000)
Rh (0.0000, 0.0000, 0.0000)
Rh (0.5000, 0.0000, 0.6494)
Rh (0.0000, 0.5000, 0.3506)

Properties
D(E_F), states/eV per atom: 0.664
Space group: No. 115
E_form, eV per atom: -0.929
Uncorrected energy, eV/atom: -7.16

PmScPa2As4 after structural relaxation. Source: Alexandria via LeMat-Bulk, functional PBE.

a b c (Å): 4.0900 7.0494 7.0799
angles (deg): 70.45 90.00 90.00
Fractional coordinates of all 8 atoms:
Pm (0.0000, 0.5000, 0.5000)
Sc (0.5000, 0.5000, 0.0000)
Pa (0.0000, 0.0000, 0.0000)
Pa (0.5000, 0.0000, 0.5000)
As (0.0000, 0.7454, 0.7608)
As (0.0000, 0.2546, 0.2392)
As (0.5000, 0.7522, 0.2398)
As (0.5000, 0.2478, 0.7602)

Properties
D(E_F), states/eV per atom: 1.005
Space group: No. 10
E_form, eV per atom: -1.218
Uncorrected energy, eV/atom: -7.30

Copy entry 1 word for word.
Pm5PaAs6 after structural relaxation. Source: Alexandria via LeMat-Bulk, functional PBE.

a b c (Å): 7.2885 7.2885 7.2846
angles (deg): 99.59 99.59 119.99
Fractional coordinates of all 12 atoms:
As (0.4049, 0.0812, 0.2444)
As (0.9188, 0.5951, 0.7556)
As (0.2414, 0.2414, 0.7556)
As (0.7586, 0.7586, 0.2444)
As (0.0812, 0.4049, 0.2444)
As (0.5951, 0.9188, 0.7556)
Pa (0.0000, 0.0000, 0.0000)
Pm (0.8308, 0.1692, 0.5000)
Pm (0.6660, 0.3340, 0.0000)
Pm (0.5000, 0.5000, 0.5000)
Pm (0.3340, 0.6660, 0.0000)
Pm (0.1692, 0.8308, 0.5000)

Properties
D(E_F), states/eV per atom: 0.367
Space group: No. 12
E_form, eV per atom: -1.469
Uncorrected energy, eV/atom: -6.56